(1)
VASP calculation (PBE) on a relaxed Cs2La2V crystal.

The space group is P4/mbm (No. 127) and the conventional cell measures 7.872, 7.872 and 7.650 Å, with angles of 90.00, 90.00 and 90.00 degrees. Symmetry generates all atoms from Cs at (0.207, 0.293, 0.000), La at (0.178, 0.678, 0.500) and V at (0.000, 0.000, 0.500).

For the formation energy, the calculation gives 0.726 eV/atom.

***

(2)
VASP calculation (PBE) on a relaxed CsLaVW2 crystal.

The space group is P4/mmm (No. 123) and the conventional cell measures 5.019, 5.019 and 5.618 Å, with angles of 90.00, 90.00 and 90.00 degrees. Symmetry generates all atoms from Cs at (0.000, 0.000, 0.000), La at (0.000, 0.000, 0.500), V at (0.500, 0.500, 0.500) and W at (0.000, 0.500, 0.000).

For the formation energy, the calculation gives 3.174 eV/atom.

***

(3)
VASP calculation (PBE) on a relaxed CsLa2W crystal.

The space group is Fm-3m (No. 225) and the conventional cell measures 7.801, 7.801 and 7.801 Å, with angles of 90.00, 90.00 and 90.00 degrees. Symmetry generates all atoms from Cs at (0.000, 0.000, 0.000), La at (0.250, 0.250, 0.250) and W at (0.000, 0.000, 0.500).

For the formation energy, the calculation gives 1.128 eV/atom. The value obtained for the energy above the lowest structure with this stoichiometry is 236 meV per atom.

***

It is found that the electronic total energy values, taken in the order of the records, are -17.05, -24.93, -19.15 eV/f.u..